The following is a PBE with a Hubbard U calculation of a relaxed structure of NaCo2TeO8, from the Alexandria database.

a b c (Å): 6.9036 6.9036 6.1301
angles (deg): 90.00 90.00 90.00
Space group I-4m2 (No. 119)
Inequivalent atoms, fractional coordinates:
Na  0.0000  0.0000  0.0000 x2
Co  0.0000  0.0000  0.5000 x2
Co  0.0000  0.5000  0.7500 x2
Te  0.0000  0.5000  0.2500 x2
O  0.0000  0.2066  0.3239 x8
O  0.0000  0.3282  0.9441 x8

**VASP energy**: -5.146 eV per atom